DFT (PBE) results for a relaxed structure of La3InCo.

```
data_La3InCo
_symmetry_space_group_name_H-M 'P 1'
_symmetry_Int_Tables_number 1
_symmetry_space_group_name_Hall 'P 1'
_cell_length_a 10.018
_cell_length_b 10.018
_cell_length_c 10.018
_cell_angle_alpha 60.00
_cell_angle_beta 60.00
_cell_angle_gamma 60.00
loop_
_atom_site_label
_atom_site_type_symbol
_atom_site_fract_x
_atom_site_fract_y
_atom_site_fract_z
In1 In 0.625 0.625 0.625
In2 In 0.625 0.125 0.625
In3 In 0.125 0.625 0.625
In4 In 0.625 0.625 0.125
Co1 Co 0.125 0.125 0.125
Co2 Co 0.125 0.625 0.125
Co3 Co 0.625 0.125 0.125
Co4 Co 0.125 0.125 0.625
La1 La 0.796 0.204 0.204
La2 La 0.046 0.454 0.454
La3 La 0.454 0.454 0.046
La4 La 0.454 0.046 0.046
La5 La 0.046 0.454 0.046
La6 La 0.796 0.204 0.796
La7 La 0.454 0.046 0.454
La8 La 0.046 0.046 0.454
La9 La 0.204 0.796 0.204
La10 La 0.204 0.796 0.796
La11 La 0.204 0.204 0.796
La12 La 0.796 0.796 0.204
```

* E above lowest polymorph: 1.215 eV/f.u.
* SG: Fd-3m (227)
* theoretical density: 5.52 g/cm3